# Tl2GeTe5As, relaxed, DFT GGA-PBE
data_Tl2GeTe5As
_cell_length_a 4.124
_cell_length_b 20.505
_cell_length_c 13.937
_cell_angle_alpha 90.00
_cell_angle_beta 90.00
_cell_angle_gamma 90.00
_symmetry_space_group_name_H-M 'C m c 21'
_symmetry_Int_Tables_number 36
_symmetry_space_group_name_Hall 'C 2c -2'
loop_
_atom_site_label
_atom_site_fract_x
_atom_site_fract_y
_atom_site_fract_z
Tl1 0.000 0.119 0.000
Tl2 0.000 0.135 0.635
Ge1 0.000 0.440 0.741
Te1 0.000 0.041 0.362
Te2 0.000 0.288 0.982
Te3 0.000 0.318 0.685
Te4 0.000 0.334 0.312
Te5 0.000 0.486 0.090
As1 0.000 0.205 0.342
# total magnetization	0.00	μB/cell
# energy relative to the elements, uncorrected	-0.10	eV per atom